[1]
Here is a relaxed structure of NaGe12Pd4 from the Alexandria database. Energies are from PBE.

Output
The calculation puts the formation energy at -0.132 eV per atom. The calculation puts the size of the total moment at 0.00 μB per atom. Its electronic total energy is -4.691 eV per atom. The volume comes out at 19.7 Å³/atom.

Lattice parameters (Å, degrees): 8.743 8.743 8.743 90.00 90.00 90.00
Space group Im-3 (No. 204)
Asymmetric unit:
Na1 0.000 0.000 0.000 (multiplicity 2)
Ge1 0.000 0.149 0.353 (multiplicity 24)
Pd1 0.250 0.250 0.250 (multiplicity 8)

=====

[2]
Here is a relaxed structure of Pu2Al3Zn4Hg from the Alexandria database. Energies are from PBE.

Output
The calculation puts the formation energy at -0.128 eV per atom. The calculation puts the size of the total moment at 1.10 μB per atom. Its electronic total energy is -4.657 eV per atom. The volume comes out at 19.7 Å³/atom.

Lattice parameters (Å, degrees): 4.245 4.245 10.948 90.00 90.00 90.00
Space group P-4m2 (No. 115)
Asymmetric unit:
Pu1 0.000 0.500 0.239 (multiplicity 2)
Al1 0.000 0.500 0.869 (multiplicity 2)
Al2 0.500 0.500 0.500 (multiplicity 1)
Zn1 0.000 0.000 0.000 (multiplicity 1)
Zn2 0.000 0.500 0.647 (multiplicity 2)
Zn3 0.500 0.500 0.000 (multiplicity 1)
Hg1 0.000 0.000 0.500 (multiplicity 1)

=====

[3]
Here is a relaxed structure of Ce2BeGa from the Alexandria database. Energies are from PBE.

Output
The calculation puts the formation energy at -0.133 eV per atom. The energy above the most stable polymorph in this dataset comes out at 0.0 meV/atom. The calculation puts the size of the total moment at 0.00 μB per atom. Its electronic total energy is -4.788 eV per atom. The volume comes out at 20.5 Å³/atom.

Lattice parameters (Å, degrees): 4.345 4.345 4.341 90.00 90.00 90.00
Space group P4/mmm (No. 123)
Asymmetric unit:
Ce1 0.000 0.500 0.000 (multiplicity 2)
Be1 0.000 0.000 0.500 (multiplicity 1)
Ga1 0.500 0.500 0.500 (multiplicity 1)

=====

[4]
Here is a relaxed structure of CeGdHfSc from the Alexandria database. Energies are from PBE.

Output
The calculation puts the formation energy at 0.203 eV per atom. The calculation puts the size of the total moment at 1.82 μB per atom. Its electronic total energy is -8.872 eV per atom. The volume comes out at 26.6 Å³/atom.

Lattice parameters (Å, degrees): 7.519 7.519 7.519 90.00 90.00 90.00
Space group F-43m (No. 216)
Asymmetric unit:
Ce1 0.000 0.000 0.000 (multiplicity 4)
Gd1 0.000 0.000 0.500 (multiplicity 4)
Hf1 0.250 0.250 0.250 (multiplicity 4)
Sc1 0.250 0.250 0.750 (multiplicity 4)

=====

[5]
Here is a relaxed structure of IrPbSe from the Alexandria database. Energies are from PBE.

Output
The energy above the most stable polymorph in this dataset comes out at 141.1 meV/atom. The calculation puts the size of the total moment at 0.00 μB per atom. Its electronic total energy is -5.279 eV per atom. Its raw formation energy is 73 meV per atom. The volume comes out at 24.9 Å³/atom.

Lattice parameters (Å, degrees): 4.0603 4.0603 5.2230 90.00 90.00 120.00
Space group P3m1 (No. 156)
Asymmetric unit:
Ir1 0.0000 0.0000 0.0000 (multiplicity 1)
Pb1 0.6667 0.3333 0.3559 (multiplicity 1)
Se1 0.3333 0.6667 0.8897 (multiplicity 1)

=====

[6]
Here is a relaxed structure of MgCuPb2 from the Alexandria database. Energies are from PBE.

Output
The calculation puts the formation energy at 0.166 eV per atom. The calculation puts the size of the total moment at 0.00 μB per atom. Its electronic total energy is -3.111 eV per atom. The volume comes out at 26.9 Å³/atom.

Lattice parameters (Å, degrees): 9.065 9.065 5.236 90.00 90.00 90.00
Space group I-42d (No. 122)
Asymmetric unit:
Mg1 0.000 0.000 0.000 (multiplicity 4)
Cu1 0.000 0.000 0.500 (multiplicity 4)
Pb1 0.147 0.250 0.625 (multiplicity 8)

=====

[7]
Here is a relaxed structure of LaAsBr2 from the Alexandria database. Energies are from PBE.

Output
The energy above the most stable polymorph in this dataset comes out at 494.6 meV/atom. The calculation puts the size of the total moment at 0.50 μB per atom. Its electronic total energy is -4.006 eV per atom. Its raw formation energy is -775 meV per atom. The volume comes out at 26.7 Å³/atom.

Lattice parameters (Å, degrees): 7.527 7.527 7.527 90.00 90.00 90.00
Space group Fm-3m (No. 225)
Asymmetric unit:
La1 0.000 0.000 0.000 (multiplicity 4)
As1 0.000 0.000 0.500 (multiplicity 4)
Br1 0.250 0.250 0.250 (multiplicity 8)

=====

[8]
Here is a relaxed structure of La2TbMg from the Alexandria database. Energies are from PBE.

Output
The calculation puts the formation energy at 0.037 eV per atom. The energy above the most stable polymorph in this dataset comes out at 76.7 meV/atom. The calculation puts the size of the total moment at 0.00 μB per atom. Its electronic total energy is -3.983 eV per atom. The volume comes out at 33.2 Å³/atom.

Lattice parameters (Å, degrees): 3.6309 3.6309 34.9007 90.00 90.00 120.00
Space group R3m (No. 160, hexagonal axes)
Asymmetric unit:
La1 0.0000 0.0000 0.0000 (multiplicity 3)
La2 0.0000 0.0000 0.1700 (multiplicity 3)
Tb1 0.0000 0.0000 0.4181 (multiplicity 3)
Mg1 0.0000 0.0000 0.5851 (multiplicity 3)

=====

[9]
Here is a relaxed structure of SrMg2Ag from the Alexandria database. Energies are from PBE.

Output
The calculation puts the formation energy at 0.134 eV per atom. The calculation puts the size of the total moment at 0.00 μB per atom. Its electronic total energy is -1.796 eV per atom. The volume comes out at 28.0 Å³/atom.

Lattice parameters (Å, degrees): 6.410 10.252 3.406 90.00 90.00 90.00
Space group Cmmm (No. 65)
Asymmetric unit:
Sr1 0.000 0.000 0.000 (multiplicity 2)
Mg1 0.250 0.250 0.500 (multiplicity 4)
Ag1 0.000 0.500 0.000 (multiplicity 2)

=====

[10]
Here is a relaxed structure of V2CuW from the Alexandria database. Energies are from PBE.

Output
The calculation puts the formation energy at 0.083 eV per atom. The energy above the most stable polymorph in this dataset comes out at 0.0 meV/atom. The calculation puts the size of the total moment at 0.00 μB per atom. Its electronic total energy is -8.738 eV per atom. The volume comes out at 13.9 Å³/atom.

Lattice parameters (Å, degrees): 3.120 3.120 5.715 90.00 90.00 90.00
Space group P4/mmm (No. 123)
Asymmetric unit:
V1 0.000 0.000 0.247 (multiplicity 2)
Cu1 0.500 0.500 0.000 (multiplicity 1)
W1 0.500 0.500 0.500 (multiplicity 1)

=====

Which value of volume does entry 4 give?
26.6 Å³/atom

=====

Which value of size of the total moment does entry 9 give?
0.00 μB per atom

=====

Repeat the sixth record exactly.
Here is a relaxed structure of MgCuPb2 from the Alexandria database. Energies are from PBE.

Output
The calculation puts the formation energy at 0.166 eV per atom. The calculation puts the size of the total moment at 0.00 μB per atom. Its electronic total energy is -3.111 eV per atom. The volume comes out at 26.9 Å³/atom.

Lattice parameters (Å, degrees): 9.065 9.065 5.236 90.00 90.00 90.00
Space group I-42d (No. 122)
Asymmetric unit:
Mg1 0.000 0.000 0.000 (multiplicity 4)
Cu1 0.000 0.000 0.500 (multiplicity 4)
Pb1 0.147 0.250 0.625 (multiplicity 8)